P) Material: InClF2
Method: DFT, GGA-PBE
State: optimized geometry

a = 5.772 Å, b = 6.204 Å, c = 5.772 Å
α = 109.41°, β = 71.95°, γ = 70.58°
Fractional positions:
Cl (0.764, 0.390, 0.622)
Cl (0.541, 0.890, 0.400)
F (0.914, 0.856, 0.754)
F (0.135, 0.759, 0.136)
F (0.027, 0.259, 0.029)
F (0.409, 0.356, 0.250)
In (0.988, 0.581, 0.363)
In (0.801, 0.081, 0.176)

Computed properties:
M_tot: 0.01 μB per atom
Crystal system: monoclinic
D(E_F): 0.00 states/eV per atom
Theoretical density: 3.86 g/cm³

***

Q) Material: InClF2
Method: DFT, GGA-PBE
State: optimized geometry

a = 5.482 Å, b = 5.495 Å, c = 5.958 Å
α = 106.90°, β = 96.87°, γ = 116.59°
Fractional positions:
Cl (0.104, 0.737, 0.308)
Cl (0.306, 0.353, 0.871)
F (0.784, 0.097, 0.337)
F (0.679, 0.030, 0.841)
F (0.401, 0.360, 0.366)
F (0.902, 0.638, 0.781)
In (0.011, 0.035, 0.079)
In (0.565, 0.194, 0.589)

Computed properties:
M_tot: 0.00 μB per atom
Crystal system: triclinic
D(E_F): 0.00 states/eV per atom
Theoretical density: 4.26 g/cm³

***

Least stable of them? Q).

***

P) Material: InClF2
Method: DFT, GGA-PBE
State: optimized geometry

a = 3.510 Å, b = 4.207 Å, c = 6.227 Å
α = 70.69°, β = 74.19°, γ = 89.97°
Fractional positions:
In (0.266, 0.374, 0.047)
Cl (0.610, 0.216, 0.370)
F (0.285, 0.894, 0.007)
F (0.871, 0.481, 0.829)

Computed properties:
M_tot: 0.00 μB per atom
Crystal system: triclinic
D(E_F): 0.00 states/eV per atom
Theoretical density: 3.76 g/cm³

***

Q) Material: InClF2
Method: DFT, GGA-PBE
State: optimized geometry

a = 4.807 Å, b = 4.807 Å, c = 7.480 Å
α = 71.26°, β = 71.26°, γ = 90.00°
Fractional positions:
F (0.875, 0.168, 0.750)
F (0.375, 0.082, 0.750)
F (0.918, 0.125, 0.250)
F (0.832, 0.625, 0.250)
Cl (0.500, 0.500, 0.000)
Cl (0.250, 0.750, 0.500)
In (0.000, 0.000, 0.000)
In (0.750, 0.250, 0.500)

Computed properties:
M_tot: 0.00 μB per atom
Crystal system: tetragonal
D(E_F): 0.00 states/eV per atom
Theoretical density: 4.06 g/cm³

***

R) Material: InClF2
Method: DFT, GGA-PBE
State: optimized geometry

a = 4.278 Å, b = 4.278 Å, c = 4.278 Å
α = 60.00°, β = 60.00°, γ = 60.00°
Fractional positions:
In (0.500, 0.500, 0.500)
F (0.250, 0.250, 0.250)
F (0.750, 0.750, 0.750)
Cl (0.000, 0.000, 0.000)

Computed properties:
M_tot: 0.00 μB per atom
Crystal system: cubic
D(E_F): 0.21 states/eV per atom
Theoretical density: 5.65 g/cm³

***

Least stable of them? R).

***

P) Material: InCl2F
Method: DFT, GGA-PBE
State: optimized geometry

a = 4.562 Å, b = 4.562 Å, c = 4.562 Å
α = 60.00°, β = 60.00°, γ = 60.00°
Fractional positions:
F (0.000, 0.000, 0.000)
Cl (0.250, 0.250, 0.250)
Cl (0.750, 0.750, 0.750)
In (0.500, 0.500, 0.500)

Computed properties:
M_tot: 0.00 μB per atom
Crystal system: cubic
D(E_F): 0.51 states/eV per atom
Theoretical density: 5.06 g/cm³

***

Q) Material: InCl2F
Method: DFT, GGA-PBE
State: optimized geometry

a = 9.340 Å, b = 9.340 Å, c = 6.940 Å
α = 47.70°, β = 47.70°, γ = 90.00°
Fractional positions:
Cl (0.375, 0.223, 0.750)
Cl (0.875, 0.027, 0.750)
Cl (0.777, 0.125, 0.250)
Cl (0.973, 0.625, 0.250)
In (0.000, 0.000, 0.000)
In (0.750, 0.250, 0.500)
F (0.500, 0.500, 0.000)
F (0.250, 0.750, 0.500)

Computed properties:
M_tot: 0.00 μB per atom
Crystal system: tetragonal
D(E_F): 0.00 states/eV per atom
Theoretical density: 3.66 g/cm³

***

R) Material: InCl2F
Method: DFT, GGA-PBE
State: optimized geometry

a = 8.090 Å, b = 8.090 Å, c = 8.090 Å
α = 27.31°, β = 27.31°, γ = 27.31°
Fractional positions:
Cl (0.099, 0.099, 0.099)
Cl (0.901, 0.901, 0.901)
In (0.500, 0.500, 0.500)
F (0.000, 0.000, 0.000)

Computed properties:
M_tot: 0.00 μB per atom
Crystal system: trigonal
D(E_F): 0.05 states/eV per atom
Theoretical density: 3.46 g/cm³

***

S) Material: InCl2F
Method: DFT, GGA-PBE
State: optimized geometry

a = 3.690 Å, b = 4.264 Å, c = 7.140 Å
α = 107.40°, β = 104.97°, γ = 90.00°
Fractional positions:
F (0.500, 0.509, 0.000)
In (0.500, 0.009, 0.000)
Cl (0.133, 0.143, 0.267)
Cl (0.867, 0.876, 0.733)

Computed properties:
M_tot: 0.00 μB per atom
Crystal system: orthorhombic
D(E_F): 0.00 states/eV per atom
Theoretical density: 3.29 g/cm³

***

Least stable of them? R).

***

P) Material: InClF3
Method: DFT, GGA-PBE
State: optimized geometry

a = 4.439 Å, b = 4.439 Å, c = 4.439 Å
α = 90.00°, β = 90.00°, γ = 90.00°
Fractional positions:
F (0.000, 0.000, 0.500)
F (0.500, 0.000, 0.000)
F (0.000, 0.500, 0.000)
In (0.500, 0.500, 0.500)
Cl (0.000, 0.000, 0.000)

Computed properties:
M_tot: 0.00 μB per atom
Crystal system: cubic
D(E_F): 0.30 states/eV per atom
Theoretical density: 3.93 g/cm³

***

Q) Material: InClF3
Method: DFT, GGA-PBE
State: optimized geometry

a = 4.266 Å, b = 4.266 Å, c = 4.266 Å
α = 90.00°, β = 90.00°, γ = 90.00°
Fractional positions:
F (0.000, 0.500, 0.000)
F (0.000, 0.000, 0.500)
F (0.500, 0.000, 0.000)
Cl (0.500, 0.500, 0.500)
In (0.000, 0.000, 0.000)

Computed properties:
M_tot: 0.20 μB per atom
Crystal system: cubic
D(E_F): 1.74 states/eV per atom
Theoretical density: 4.43 g/cm³

***

Least stable of them? P).

***

P) Material: InCl3F
Method: DFT, GGA-PBE
State: optimized geometry

a = 4.813 Å, b = 4.813 Å, c = 4.813 Å
α = 90.00°, β = 90.00°, γ = 90.00°
Fractional positions:
In (0.500, 0.500, 0.500)
Cl (0.000, 0.500, 0.000)
Cl (0.000, 0.000, 0.500)
Cl (0.500, 0.000, 0.000)
F (0.000, 0.000, 0.000)

Computed properties:
M_tot: 0.00 μB per atom
Crystal system: cubic
D(E_F): 1.08 states/eV per atom
Theoretical density: 3.58 g/cm³

***

Q) Material: InCl3F
Method: DFT, GGA-PBE
State: optimized geometry

a = 5.067 Å, b = 5.067 Å, c = 5.067 Å
α = 90.00°, β = 90.00°, γ = 90.00°
Fractional positions:
F (0.500, 0.500, 0.500)
In (0.000, 0.000, 0.000)
Cl (0.000, 0.500, 0.000)
Cl (0.000, 0.000, 0.500)
Cl (0.500, 0.000, 0.000)

Computed properties:
M_tot: 0.20 μB per atom
Crystal system: cubic
D(E_F): 3.16 states/eV per atom
Theoretical density: 3.06 g/cm³

***

Least stable of them? P).

***

P) Material: KInClF
Method: DFT, GGA-PBE
State: optimized geometry

a = 5.168 Å, b = 5.168 Å, c = 5.168 Å
α = 60.00°, β = 60.00°, γ = 60.00°
Fractional positions:
In (0.750, 0.750, 0.750)
K (0.250, 0.250, 0.250)
F (0.500, 0.500, 0.500)
Cl (0.000, 0.000, 0.000)

Computed properties:
M_tot: 0.00 μB per atom
Crystal system: cubic
D(E_F): 0.00 states/eV per atom
Theoretical density: 3.55 g/cm³

***

Q) Material: KInClF
Method: DFT, GGA-PBE
State: optimized geometry

a = 5.081 Å, b = 5.081 Å, c = 11.269 Å
α = 76.97°, β = 76.97°, γ = 60.00°
Fractional positions:
F (0.207, 0.207, 0.378)
F (0.793, 0.793, 0.622)
K (0.128, 0.128, 0.615)
K (0.872, 0.872, 0.385)
Cl (0.588, 0.588, 0.235)
Cl (0.412, 0.412, 0.765)
In (0.721, 0.721, 0.837)
In (0.279, 0.279, 0.163)

Computed properties:
M_tot: 0.00 μB per atom
Crystal system: trigonal
D(E_F): 0.00 states/eV per atom
Theoretical density: 2.85 g/cm³

***

Least stable of them? P).

***

P) Material: InN2ClF
Method: DFT, GGA-PBE
State: optimized geometry

a = 3.718 Å, b = 3.718 Å, c = 5.361 Å
α = 90.00°, β = 90.00°, γ = 90.00°
Fractional positions:
Cl (0.000, 0.000, 0.000)
N (0.500, 0.000, 0.000)
N (0.000, 0.500, 0.000)
In (0.500, 0.500, 0.500)
F (0.000, 0.000, 0.500)

Computed properties:
M_tot: 0.13 μB per atom
Crystal system: tetragonal
D(E_F): 0.56 states/eV per atom
Theoretical density: 4.42 g/cm³

***

Q) Material: InN2ClF
Method: DFT, GGA-PBE
State: optimized geometry

a = 4.484 Å, b = 4.484 Å, c = 4.207 Å
α = 90.00°, β = 90.00°, γ = 90.00°
Fractional positions:
In (0.000, 0.000, 0.000)
N (0.500, 0.000, 0.000)
N (0.000, 0.500, 0.000)
F (0.000, 0.000, 0.500)
Cl (0.500, 0.500, 0.500)

Computed properties:
M_tot: 0.71 μB per atom
Crystal system: tetragonal
D(E_F): 0.97 states/eV per atom
Theoretical density: 3.87 g/cm³

***

Least stable of them? P).

***

P) Material: InPCl2F
Method: DFT, GGA-PBE
State: optimized geometry

a = 4.987 Å, b = 4.987 Å, c = 5.432 Å
α = 90.00°, β = 90.00°, γ = 90.00°
Fractional positions:
F (0.500, 0.500, 0.500)
Cl (0.500, 0.000, 0.000)
Cl (0.000, 0.500, 0.000)
In (0.000, 0.000, 0.000)
P (0.000, 0.000, 0.500)

Computed properties:
M_tot: 0.20 μB per atom
Crystal system: tetragonal
D(E_F): 0.95 states/eV per atom
Theoretical density: 2.90 g/cm³

***

Q) Material: InPCl2F
Method: DFT, GGA-PBE
State: optimized geometry

a = 5.681 Å, b = 5.681 Å, c = 3.648 Å
α = 90.00°, β = 90.00°, γ = 90.00°
Fractional positions:
Cl (0.500, 0.000, 0.000)
Cl (0.000, 0.500, 0.000)
In (0.500, 0.500, 0.500)
P (0.000, 0.000, 0.500)
F (0.000, 0.000, 0.000)

Computed properties:
M_tot: 0.02 μB per atom
Crystal system: tetragonal
D(E_F): 0.35 states/eV per atom
Theoretical density: 3.32 g/cm³

***

Least stable of them? P).

***

P) Material: InPbCl2F
Method: DFT, GGA-PBE
State: optimized geometry

a = 4.347 Å, b = 8.930 Å, c = 7.602 Å
α = 102.44°, β = 90.00°, γ = 90.00°
Fractional positions:
In (0.750, 0.463, 0.714)
In (0.250, 0.537, 0.286)
Pb (0.750, 0.117, 0.277)
Pb (0.250, 0.883, 0.723)
Cl (0.250, 0.179, 0.044)
Cl (0.750, 0.827, 0.453)
Cl (0.250, 0.173, 0.547)
Cl (0.750, 0.821, 0.956)
F (0.250, 0.605, 0.622)
F (0.750, 0.395, 0.378)

Computed properties:
M_tot: 0.00 μB per atom
Crystal system: monoclinic
D(E_F): 0.00 states/eV per atom
Theoretical density: 4.75 g/cm³

***

Q) Material: InPbCl2F
Method: DFT, GGA-PBE
State: optimized geometry

a = 5.776 Å, b = 5.776 Å, c = 4.719 Å
α = 90.00°, β = 90.00°, γ = 90.00°
Fractional positions:
In (0.500, 0.500, 0.500)
Pb (0.000, 0.000, 0.000)
Cl (0.000, 0.500, 0.000)
Cl (0.500, 0.000, 0.000)
F (0.000, 0.000, 0.500)

Computed properties:
M_tot: 0.00 μB per atom
Crystal system: tetragonal
D(E_F): 0.00 states/eV per atom
Theoretical density: 4.35 g/cm³

***

Least stable of them? Q).

***

P) Material: RbInClF
Method: DFT, GGA-PBE
State: optimized geometry

a = 5.283 Å, b = 5.283 Å, c = 5.283 Å
α = 60.00°, β = 60.00°, γ = 60.00°
Fractional positions:
Rb (0.500, 0.500, 0.500)
In (0.000, 0.000, 0.000)
F (0.250, 0.250, 0.250)
Cl (0.750, 0.750, 0.750)

Computed properties:
M_tot: 0.00 μB per atom
Crystal system: cubic
D(E_F): 0.00 states/eV per atom
Theoretical density: 4.06 g/cm³

***

Q) Material: RbInClF
Method: DFT, GGA-PBE
State: optimized geometry

a = 4.179 Å, b = 4.549 Å, c = 7.769 Å
α = 81.68°, β = 104.83°, γ = 116.88°
Fractional positions:
Rb (0.486, 0.193, 0.581)
F (0.045, 0.497, 0.391)
Cl (0.298, 0.543, 0.873)
In (0.049, 0.798, 0.125)

Computed properties:
M_tot: 0.00 μB per atom
Crystal system: triclinic
D(E_F): 0.00 states/eV per atom
Theoretical density: 3.32 g/cm³

***

Least stable of them? P).

***

P) Material: InSCl2F
Method: DFT, GGA-PBE
State: optimized geometry

a = 5.640 Å, b = 5.640 Å, c = 3.696 Å
α = 90.00°, β = 90.00°, γ = 90.00°
Fractional positions:
Cl (0.500, 0.000, 0.000)
Cl (0.000, 0.500, 0.000)
In (0.500, 0.500, 0.500)
S (0.000, 0.000, 0.500)
F (0.000, 0.000, 0.000)

Computed properties:
M_tot: 0.33 μB per atom
Crystal system: tetragonal
D(E_F): 0.84 states/eV per atom
Theoretical density: 3.35 g/cm³

***

Q) Material: InSCl2F
Method: DFT, GGA-PBE
State: optimized geometry

a = 4.977 Å, b = 4.977 Å, c = 5.448 Å
α = 90.00°, β = 90.00°, γ = 90.00°
Fractional positions:
Cl (0.500, 0.000, 0.000)
Cl (0.000, 0.500, 0.000)
S (0.000, 0.000, 0.500)
In (0.000, 0.000, 0.000)
F (0.500, 0.500, 0.500)

Computed properties:
M_tot: 0.41 μB per atom
Crystal system: tetragonal
D(E_F): 0.96 states/eV per atom
Theoretical density: 2.91 g/cm³

***

Least stable of them? P).

***

P) Material: IrClF3
Method: DFT, GGA-PBE
State: optimized geometry

a = 4.121 Å, b = 4.121 Å, c = 4.121 Å
α = 90.00°, β = 90.00°, γ = 90.00°
Fractional positions:
F (0.000, 0.500, 0.000)
F (0.500, 0.000, 0.000)
F (0.000, 0.000, 0.500)
Cl (0.500, 0.500, 0.500)
Ir (0.000, 0.000, 0.000)

Computed properties:
M_tot: 0.29 μB per atom
Crystal system: cubic
D(E_F): 1.90 states/eV per atom
Theoretical density: 6.76 g/cm³

***

Q) Material: IrClF3
Method: DFT, GGA-PBE
State: optimized geometry

a = 4.348 Å, b = 4.348 Å, c = 4.348 Å
α = 90.00°, β = 90.00°, γ = 90.00°
Fractional positions:
F (0.000, 0.500, 0.000)
F (0.500, 0.000, 0.000)
F (0.000, 0.000, 0.500)
Ir (0.500, 0.500, 0.500)
Cl (0.000, 0.000, 0.000)

Computed properties:
M_tot: 0.51 μB per atom
Crystal system: cubic
D(E_F): 1.47 states/eV per atom
Theoretical density: 5.75 g/cm³

***

Least stable of them? Q).